1.
MnP2H | GGA-PBE | relaxed

Calculated values
Total energy in eV for the cell shown: -21.787

Structure (POSCAR):
```
MnP2H
1.0
0.000 2.782 2.782
2.782 0.000 2.782
2.782 2.782 0.000
P Mn H
2 1 1
Cartesian
1.391 1.391 1.391
4.173 4.173 4.173
2.782 2.782 2.782
0.000 0.000 0.000
```

***

2.
La2PmRh | GGA-PBE | relaxed

Calculated values
E_form in eV per atom: -0.30

Structure (POSCAR):
```
La2PmRh
1.0
3.671 0.000 0.000
0.000 3.671 0.000
0.000 0.000 8.872
La Rh Pm
2 1 1
Cartesian
0.000 0.000 7.191
0.000 0.000 1.680
1.836 1.836 0.000
1.836 1.836 4.436
```

***

3.
Cd2Hg4Pb | GGA-PBE | relaxed

Calculated values
E_form in eV per atom: 0.17

Structure (POSCAR):
```
Cd2Hg4Pb
1.0
-3.919 3.647 -2.727
-3.703 -0.458 4.709
7.031 4.179 2.103
Pb Hg Cd
1 4 2
Cartesian
0.000 0.000 0.000
-1.926 4.976 2.803
1.333 2.391 1.281
-1.852 -0.229 2.354
-1.960 1.823 -1.364
-3.186 2.715 1.591
2.594 4.653 2.493
```

***

4.
Pr2SnS6 | GGA-PBE | relaxed

Calculated values
ΔE_f (raw) in eV per atom: -0.891

Structure (POSCAR):
```
Pr2SnS6
1.0
-4.430 0.680 4.555
2.214 -5.228 2.933
7.991 7.147 6.706
Pr Sn S
4 2 12
Cartesian
2.650 2.370 2.224
5.537 3.669 9.321
0.237 -1.071 4.873
5.341 4.777 4.482
0.000 0.000 0.000
2.887 1.299 7.097
2.110 1.088 4.682
1.274 -0.627 7.506
7.757 1.964 8.942
3.618 5.644 9.952
2.156 -3.045 4.242
-1.982 0.635 5.252
4.500 3.226 6.688
3.665 1.511 9.512
-0.635 -1.304 2.146
-1.581 -3.245 5.342
4.792 -0.394 6.632
0.983 2.993 7.562
```

***

- What is the formula in the fourth record?
  Pr2SnS6

***

Please write out number 1 again, unchanged.
MnP2H | GGA-PBE | relaxed

Calculated values
Total energy in eV for the cell shown: -21.787

Structure (POSCAR):
```
MnP2H
1.0
0.000 2.782 2.782
2.782 0.000 2.782
2.782 2.782 0.000
P Mn H
2 1 1
Cartesian
1.391 1.391 1.391
4.173 4.173 4.173
2.782 2.782 2.782
0.000 0.000 0.000
```

***

What did the first record say?
MnP2H | GGA-PBE | relaxed

Calculated values
Total energy in eV for the cell shown: -21.787

Structure (POSCAR):
```
MnP2H
1.0
0.000 2.782 2.782
2.782 0.000 2.782
2.782 2.782 0.000
P Mn H
2 1 1
Cartesian
1.391 1.391 1.391
4.173 4.173 4.173
2.782 2.782 2.782
0.000 0.000 0.000
```